RbYTi after structural relaxation, computed with PBE.

Symmetry = No. 1
N(E_F) = 1.585 states/eV per atom
Final energy = -13.642 eV per formula unit

abc: 3.646 12.390 6.010
angles: 76.90 72.40 81.96
Sites, in units of the cell vectors:
Ti  0.639  0.220  0.782
Rb  0.956  0.482  0.901
Ti  0.288  0.269  0.437
Y  0.273  0.020  0.705
Rb  0.600  0.783  0.285
Y  0.973  0.117  0.213

=====

RbIn2Hg4 after structural relaxation, computed with PBE.

Symmetry = No. 71
N(E_F) = 0.394 states/eV per atom
Final energy = -8.287 eV per formula unit

abc: 4.950 3.463 12.618
angles: 97.89 101.31 90.00
Sites, in units of the cell vectors:
Hg  0.084  0.584  0.168
Hg  0.916  0.416  0.832
Rb  0.500  0.000  0.000
Hg  0.342  0.342  0.685
In  0.214  0.214  0.428
Hg  0.658  0.658  0.315
In  0.786  0.786  0.572

=====

Nb3V after structural relaxation, computed with PBE.

Symmetry = No. 63
N(E_F) = 1.787 states/eV per atom
Final energy = -39.209 eV per formula unit

abc: 3.252 6.498 6.498
angles: 91.21 90.00 90.00
Sites, in units of the cell vectors:
Nb  0.750  0.871  0.129
Nb  0.750  0.867  0.619
Nb  0.250  0.133  0.381
V  0.750  0.380  0.620
Nb  0.750  0.381  0.133
Nb  0.250  0.129  0.871
V  0.250  0.620  0.380
Nb  0.250  0.619  0.867

=====

Pm2TeP after structural relaxation, computed with PBE.

Symmetry = No. 166
N(E_F) = 0.355 states/eV per atom
Formation energy (no corrections) = -1.58 eV/atom

abc: 4.226 4.226 7.673
angles: 74.02 74.02 60.00
Sites, in units of the cell vectors:
Pm  0.262  0.262  0.213
Pm  0.738  0.738  0.787
P  0.000  0.000  0.000
Te  0.500  0.500  0.500

=====

SmAl3Zn2 after structural relaxation, computed with PBE.

Symmetry = No. 191
N(E_F) = 0.519 states/eV per atom
Final energy = -20.100 eV per formula unit

abc: 5.531 5.531 4.219
angles: 90.00 90.00 120.00
Sites, in units of the cell vectors:
Zn  0.333  0.667  0.500
Al  0.000  0.500  0.000
Al  0.500  0.000  0.000
Zn  0.667  0.333  0.500
Sm  0.000  0.000  0.500
Al  0.500  0.500  0.000

=====

BeSeCl2 after structural relaxation, computed with PBE.

Symmetry = No. 123
N(E_F) = 0.786 states/eV per atom
Formation energy (no corrections) = 0.71 eV/atom

abc: 4.337 4.337 4.033
angles: 90.00 90.00 90.00
Sites, in units of the cell vectors:
Cl  0.500  0.500  0.000
Be  0.000  0.500  0.500
Cl  0.000  0.000  0.000
Se  0.500  0.000  0.500

=====

> N(E_F) of number 4 (Pm2TeP)?

0.355 states/eV per atom